# BeCdSe2 PBE optimized geometry
# Formation energy (no corrections) (eV/atom): -0.1042
# Total moment (μB per cell): 0.00
# Total DFT energy (no corrections) (eV for the cell shown): -12.0
# SG: Immm (71)
# E above lowest polymorph (kJ/mol of atoms): 56.11
data_BeCdSe2
_chemical_formula_sum 'Be1 Cd1 Se2'
_cell_length_a 5.6088
_cell_length_b 5.6088
_cell_length_c 5.6088
_cell_angle_alpha 143.70
_cell_angle_beta 92.06
_cell_angle_gamma 99.10
_space_group_name_H-M_alt 'P 1'
_space_group_IT_number 1
loop_
_space_group_symop_operation_xyz
'x,y,z'
loop_
_atom_site_label
_atom_site_type_symbol
_atom_site_fract_x
_atom_site_fract_y
_atom_site_fract_z
Be1 Be 0.7500 0.2500 0.5000
Se1 Se 0.5432 0.5432 0.0000
Se2 Se 0.9568 0.9568 0.0000
Cd1 Cd 0.2500 0.7500 0.5000



# BeCd2Se PBE optimized geometry
# Formation energy (no corrections) (eV/atom): 0.0414
# Total moment (μB per cell): 0.00
# Total DFT energy (no corrections) (eV for the cell shown): -8.9
# SG: P4mm (99)
# E above lowest polymorph (kJ/mol of atoms): 5.61
data_BeCd2Se
_chemical_formula_sum 'Be1 Cd2 Se1'
_cell_length_a 3.3186
_cell_length_b 3.3186
_cell_length_c 7.7688
_cell_angle_alpha 90.00
_cell_angle_beta 90.00
_cell_angle_gamma 90.00
_space_group_name_H-M_alt 'P 1'
_space_group_IT_number 1
loop_
_space_group_symop_operation_xyz
'x,y,z'
loop_
_atom_site_label
_atom_site_type_symbol
_atom_site_fract_x
_atom_site_fract_y
_atom_site_fract_z
Cd1 Cd 0.0000 0.0000 0.0002
Cd2 Cd 0.5000 0.5000 0.2662
Be1 Be 0.5000 0.5000 0.5908
Se1 Se 0.0000 0.0000 0.6432



# BeCdSe2 PBE optimized geometry
# Formation energy (no corrections) (eV/atom): 0.3793
# Total moment (μB per cell): 0.00
# Total DFT energy (no corrections) (eV for the cell shown): -10.1
# SG: Fm-3m (225)
# E above lowest polymorph (kJ/mol of atoms): 102.77
data_BeCdSe2
_chemical_formula_sum 'Be1 Cd1 Se2'
_cell_length_a 4.7741
_cell_length_b 4.7741
_cell_length_c 4.7741
_cell_angle_alpha 60.00
_cell_angle_beta 60.00
_cell_angle_gamma 60.00
_space_group_name_H-M_alt 'P 1'
_space_group_IT_number 1
loop_
_space_group_symop_operation_xyz
'x,y,z'
loop_
_atom_site_label
_atom_site_type_symbol
_atom_site_fract_x
_atom_site_fract_y
_atom_site_fract_z
Se1 Se 0.2500 0.2500 0.2500
Se2 Se 0.7500 0.7500 0.7500
Be1 Be 0.0000 0.0000 0.0000
Cd1 Cd 0.5000 0.5000 0.5000



# Be2CdSe PBE optimized geometry
# Formation energy (no corrections) (eV/atom): 0.1168
# Total moment (μB per cell): 0.00
# Total DFT energy (no corrections) (eV for the cell shown): -11.4
# SG: Cm (8)
# E above lowest polymorph (kJ/mol of atoms): 1.61
data_Be2CdSe
_chemical_formula_sum 'Be2 Cd1 Se1'
_cell_length_a 5.7916
_cell_length_b 5.7916
_cell_length_c 3.7542
_cell_angle_alpha 89.80
_cell_angle_beta 89.80
_cell_angle_gamma 35.87
_space_group_name_H-M_alt 'P 1'
_space_group_IT_number 1
loop_
_space_group_symop_operation_xyz
'x,y,z'
loop_
_atom_site_label
_atom_site_type_symbol
_atom_site_fract_x
_atom_site_fract_y
_atom_site_fract_z
Cd1 Cd 0.5010 0.5010 0.5007
Be1 Be 0.0609 0.0609 0.0001
Be2 Be 0.6670 0.6670 0.9996
Se1 Se 0.2711 0.2711 0.9997



# BeCd2Se PBE optimized geometry
# Formation energy (no corrections) (eV/atom): -0.0168
# Total moment (μB per cell): 0.00
# Total DFT energy (no corrections) (eV for the cell shown): -9.1
# SG: Cm (8)
# E above lowest polymorph (kJ/mol of atoms): 0.00
data_BeCd2Se
_chemical_formula_sum 'Be1 Cd2 Se1'
_cell_length_a 5.0548
_cell_length_b 5.0548
_cell_length_c 6.0220
_cell_angle_alpha 85.95
_cell_angle_beta 85.95
_cell_angle_gamma 40.69
_space_group_name_H-M_alt 'P 1'
_space_group_IT_number 1
loop_
_space_group_symop_operation_xyz
'x,y,z'
loop_
_atom_site_label
_atom_site_type_symbol
_atom_site_fract_x
_atom_site_fract_y
_atom_site_fract_z
Cd1 Cd 0.0717 0.0717 0.9688
Cd2 Cd 0.3488 0.3488 0.1424
Be1 Be 0.7927 0.7927 0.7993
Se1 Se 0.2867 0.2867 0.5896



# BeCdSe2 PBE optimized geometry
# Formation energy (no corrections) (eV/atom): -0.4955
# Total moment (μB per cell): 0.00
# Total DFT energy (no corrections) (eV for the cell shown): -13.6
# SG: Pm (6)
# E above lowest polymorph (kJ/mol of atoms): 18.36
data_BeCdSe2
_chemical_formula_sum 'Be1 Cd1 Se2'
_cell_length_a 3.7183
_cell_length_b 4.0153
_cell_length_c 6.4592
_cell_angle_alpha 80.53
_cell_angle_beta 90.00
_cell_angle_gamma 90.00
_space_group_name_H-M_alt 'P 1'
_space_group_IT_number 1
loop_
_space_group_symop_operation_xyz
'x,y,z'
loop_
_atom_site_label
_atom_site_type_symbol
_atom_site_fract_x
_atom_site_fract_y
_atom_site_fract_z
Cd1 Cd 0.5000 0.5566 0.9139
Be1 Be 0.0000 0.3210 0.4649
Se1 Se 0.5000 0.5216 0.3268
Se2 Se 0.0000 0.1008 0.7944



# BeCd2Se PBE optimized geometry
# Formation energy (no corrections) (eV/atom): 0.2219
# Total moment (μB per cell): 0.00
# Total DFT energy (no corrections) (eV for the cell shown): -8.2
# SG: P2/m (10)
# E above lowest polymorph (kJ/mol of atoms): 23.03
data_BeCd2Se
_chemical_formula_sum 'Be1 Cd2 Se1'
_cell_length_a 3.4506
_cell_length_b 2.8344
_cell_length_c 7.9553
_cell_angle_alpha 89.94
_cell_angle_beta 90.00
_cell_angle_gamma 90.00
_space_group_name_H-M_alt 'P 1'
_space_group_IT_number 1
loop_
_space_group_symop_operation_xyz
'x,y,z'
loop_
_atom_site_label
_atom_site_type_symbol
_atom_site_fract_x
_atom_site_fract_y
_atom_site_fract_z
Se1 Se 0.5000 0.2500 0.2500
Cd1 Cd 0.0000 0.2494 0.9571
Cd2 Cd 0.0000 0.2506 0.5429
Be1 Be 0.5000 0.7500 0.7500



# BeCdSe2 PBE optimized geometry
# Formation energy (no corrections) (eV/atom): 0.5700
# Total moment (μB per cell): 0.00
# Total DFT energy (no corrections) (eV for the cell shown): -9.3
# SG: F-43m (216)
# E above lowest polymorph (kJ/mol of atoms): 121.17
data_BeCdSe2
_chemical_formula_sum 'Be1 Cd1 Se2'
_cell_length_a 4.7902
_cell_length_b 4.7902
_cell_length_c 4.7902
_cell_angle_alpha 60.00
_cell_angle_beta 60.00
_cell_angle_gamma 60.00
_space_group_name_H-M_alt 'P 1'
_space_group_IT_number 1
loop_
_space_group_symop_operation_xyz
'x,y,z'
loop_
_atom_site_label
_atom_site_type_symbol
_atom_site_fract_x
_atom_site_fract_y
_atom_site_fract_z
Be1 Be 0.5000 0.5000 0.5000
Cd1 Cd 0.7500 0.7500 0.7500
Se1 Se 0.0000 0.0000 0.0000
Se2 Se 0.2500 0.2500 0.2500